P) VASP calculation (GGA-PBE) on an optimized crystal structure of FeNi6W.

Lattice parameters (Å, degrees): 4.7134 4.7134 4.9263 90.06 90.06 119.98
Closest atoms and distances in Å follow each position.
Element x y z (fractional)
Fe 0.0000 0.0000 0.0000  2 W 2.46, 12 Ni 2.64-2.67
Ni 0.0041 0.5036 0.7518  6 Ni 2.35-2.48
Ni 0.4964 0.9959 0.2482  6 Ni 2.35-2.48
Ni 0.4976 0.4976 0.2482  6 Ni 2.35-2.48
Ni 0.5024 0.5024 0.7518  6 Ni 2.35-2.48
Ni 0.5036 0.0041 0.7518  6 Ni 2.35-2.48
Ni 0.9959 0.4964 0.2482  6 Ni 2.35-2.48
W 0.0000 0.0000 0.5000  2 Fe 2.46, 12 Ni 2.66-2.67

Results
magnetic moment = 3.9 μB per formula unit
N(E_F) = 1.09 states/eV per atom
space group = C2/m (12)
crystal system = monoclinic

***

Q) VASP calculation (GGA-PBE) on an optimized crystal structure of FeNi6W.

Lattice parameters (Å, degrees): 6.2279 6.2279 10.1684 90.00 90.00 109.45
Closest atoms and distances in Å follow each position.
Element x y z (fractional)
Fe 0.0000 0.0000 0.2442  12 Ni 2.48-2.60
Fe 0.0000 0.0000 0.7558  12 Ni 2.48-2.60
Fe 0.2514 0.7486 0.0000  12 Ni 2.53-2.56
Fe 0.7486 0.2514 0.0000  12 Ni 2.53-2.56
Ni 0.0000 0.0000 0.0000  4 Fe 2.48-2.56, 8 Ni 2.53
Ni 0.0000 0.0000 0.5000  8 Ni 2.54, 2 W 2.57, 2 Fe 2.60
Ni 0.1244 0.3734 0.3746  8 Ni 2.53-2.55, 3 W 2.54-2.58, 1 Fe 2.56
Ni 0.1244 0.3734 0.6254  8 Ni 2.53-2.55, 3 W 2.54-2.58, 1 Fe 2.56
Ni 0.1238 0.3742 0.1243  3 Fe 2.51-2.54, 1 W 2.52, 8 Ni 2.53-2.55
Ni 0.1238 0.3742 0.8757  3 Fe 2.51-2.54, 1 W 2.52, 8 Ni 2.53-2.55
Ni 0.2500 0.7500 0.2498  8 Ni 2.54-2.55, 2 Fe 2.54, 2 W 2.54
Ni 0.2500 0.7500 0.7502  8 Ni 2.54-2.55, 2 Fe 2.54, 2 W 2.54
Ni 0.3734 0.1244 0.3746  8 Ni 2.53-2.55, 3 W 2.54-2.58, 1 Fe 2.56
Ni 0.3734 0.1244 0.6254  8 Ni 2.53-2.55, 3 W 2.54-2.58, 1 Fe 2.56
Ni 0.3742 0.1238 0.1243  3 Fe 2.51-2.54, 1 W 2.52, 8 Ni 2.53-2.55
Ni 0.3742 0.1238 0.8757  3 Fe 2.51-2.54, 1 W 2.52, 8 Ni 2.53-2.55
Ni 0.5000 0.5000 0.0000  2 W 2.48, 2 Fe 2.53, 8 Ni 2.55
Ni 0.5000 0.5000 0.5000  4 W 2.51-2.60, 8 Ni 2.55
Ni 0.6258 0.8762 0.1243  3 Fe 2.51-2.54, 1 W 2.52, 8 Ni 2.53-2.55
Ni 0.6258 0.8762 0.8757  3 Fe 2.51-2.54, 1 W 2.52, 8 Ni 2.53-2.55
Ni 0.6266 0.8756 0.3746  8 Ni 2.53-2.55, 3 W 2.54-2.58, 1 Fe 2.56
Ni 0.6266 0.8756 0.6254  8 Ni 2.53-2.55, 3 W 2.54-2.58, 1 Fe 2.56
Ni 0.7500 0.2500 0.2498  8 Ni 2.54-2.55, 2 Fe 2.54, 2 W 2.54
Ni 0.7500 0.2500 0.7502  8 Ni 2.54-2.55, 2 Fe 2.54, 2 W 2.54
Ni 0.8762 0.6258 0.1243  3 Fe 2.51-2.54, 1 W 2.52, 8 Ni 2.53-2.55
Ni 0.8762 0.6258 0.8757  3 Fe 2.51-2.54, 1 W 2.52, 8 Ni 2.53-2.55
Ni 0.8756 0.6266 0.3746  8 Ni 2.53-2.55, 3 W 2.54-2.58, 1 Fe 2.56
Ni 0.8756 0.6266 0.6254  8 Ni 2.53-2.55, 3 W 2.54-2.58, 1 Fe 2.56
W 0.2527 0.7473 0.5000  12 Ni 2.51-2.57
W 0.5000 0.5000 0.2438  12 Ni 2.48-2.60
W 0.5000 0.5000 0.7562  12 Ni 2.48-2.60
W 0.7473 0.2527 0.5000  12 Ni 2.51-2.57

Results
magnetic moment = 4.4 μB per formula unit
N(E_F) = 1.02 states/eV per atom
space group = Cmmm (65)
crystal system = orthorhombic

***

Least stable of them? P).

***

P) VASP calculation (GGA-PBE) on an optimized crystal structure of YFeNi3.

Lattice parameters (Å, degrees): 4.3670 4.3670 4.3670 90.00 90.00 90.00
Closest atoms and distances in Å follow each position.
Element x y z (fractional)
Y 0.0000 0.0000 0.0000  12 Ni 3.09
Fe 0.5000 0.5000 0.5000  6 Ni 2.18
Ni 0.0000 0.5000 0.5000  2 Fe 2.18
Ni 0.5000 0.0000 0.5000  2 Fe 2.18
Ni 0.5000 0.5000 0.0000  2 Fe 2.18

Results
magnetic moment = 3.8 μB per formula unit
N(E_F) = 1.03 states/eV per atom
space group = Pm-3m (221)
crystal system = cubic

***

Q) VASP calculation (GGA-PBE) on an optimized crystal structure of YFeNi3.

Lattice parameters (Å, degrees): 4.6265 4.6265 4.6265 90.00 90.00 90.00
Closest atoms and distances in Å follow each position.
Element x y z (fractional)
Y 0.0000 0.0000 0.0000  6 Ni 2.31
Fe 0.5000 0.5000 0.5000  12 Ni 3.27
Ni 0.0000 0.0000 0.5000  2 Y 2.31
Ni 0.0000 0.5000 0.0000  2 Y 2.31
Ni 0.5000 0.0000 0.0000  2 Y 2.31

Results
magnetic moment = 3.2 μB per formula unit
N(E_F) = 2.07 states/eV per atom
space group = Pm-3m (221)
crystal system = cubic

***

Least stable of them? Q).

***

P) VASP calculation (GGA-PBE) on an optimized crystal structure of Zn3FeNi.

Lattice parameters (Å, degrees): 4.4502 4.4502 4.4502 90.00 90.00 90.00
Closest atoms and distances in Å follow each position.
Element x y z (fractional)
Zn 0.0000 0.0000 0.5000  2 Ni 2.23
Zn 0.0000 0.5000 0.0000  2 Ni 2.23
Zn 0.5000 0.0000 0.0000  2 Ni 2.23
Fe 0.5000 0.5000 0.5000  12 Zn 3.15
Ni 0.0000 0.0000 0.0000  6 Zn 2.23

Results
magnetic moment = 3.2 μB per formula unit
N(E_F) = 1.13 states/eV per atom
space group = Pm-3m (221)
crystal system = cubic

***

Q) VASP calculation (GGA-PBE) on an optimized crystal structure of Zn3FeNi.

Lattice parameters (Å, degrees): 4.5167 4.5167 4.5167 90.00 90.00 90.00
Closest atoms and distances in Å follow each position.
Element x y z (fractional)
Zn 0.0000 0.0000 0.5000  2 Fe 2.26
Zn 0.0000 0.5000 0.0000  2 Fe 2.26
Zn 0.5000 0.0000 0.0000  2 Fe 2.26
Fe 0.0000 0.0000 0.0000  6 Zn 2.26
Ni 0.5000 0.5000 0.5000  12 Zn 3.19

Results
magnetic moment = 2.2 μB per formula unit
N(E_F) = 0.63 states/eV per atom
space group = Pm-3m (221)
crystal system = cubic

***

Least stable of them? Q).

***

P) VASP calculation (GGA-PBE) on an optimized crystal structure of ZnFeNi.

Lattice parameters (Å, degrees): 3.9493 3.9493 3.9493 60.00 60.00 60.00
Closest atoms and distances in Å follow each position.
Element x y z (fractional)
Zn 0.0000 0.0000 0.0000  4 Fe 2.42
Fe 0.2500 0.2500 0.2500  4 Ni 2.42, 4 Zn 2.42
Ni 0.5000 0.5000 0.5000  4 Fe 2.42

Results
magnetic moment = 3.0 μB per formula unit
N(E_F) = 1.11 states/eV per atom
space group = F-43m (216)
crystal system = cubic

***

Q) VASP calculation (GGA-PBE) on an optimized crystal structure of ZnFeNi.

Lattice parameters (Å, degrees): 4.0750 4.0750 2.5244 90.00 90.00 120.00
Closest atoms and distances in Å follow each position.
Element x y z (fractional)
Zn 0.0000 0.0000 0.0000  3 Ni 2.48, 2 Zn 2.52, 3 Fe 2.56
Fe 0.6667 0.3333 0.4004  3 Ni 2.46, 2 Fe 2.52, 3 Zn 2.56
Ni 0.3333 0.6667 0.6837  3 Fe 2.46, 3 Zn 2.48, 2 Ni 2.52

Results
magnetic moment = 3.0 μB per formula unit
N(E_F) = 0.48 states/eV per atom
space group = P3m1 (156)
crystal system = trigonal

***

Least stable of them? P).

***

P) VASP calculation (GGA-PBE) on an optimized crystal structure of ZnFeNi.

Lattice parameters (Å, degrees): 5.6555 5.6555 5.6555 153.49 153.49 37.84
Closest atoms and distances in Å follow each position.
Element x y z (fractional)
Zn 0.0000 0.0000 0.0000  4 Ni 2.56, 4 Zn 2.59, 4 Fe 2.63
Fe 0.3239 0.3239 0.0000  4 Ni 2.49, 4 Fe 2.59, 4 Zn 2.63
Ni 0.6671 0.6671 0.0000  4 Fe 2.49, 4 Zn 2.56, 4 Ni 2.59

Results
magnetic moment = 2.7 μB per formula unit
N(E_F) = 0.76 states/eV per atom
space group = I4mm (107)
crystal system = tetragonal

***

Q) VASP calculation (GGA-PBE) on an optimized crystal structure of ZnFeNi.

Lattice parameters (Å, degrees): 3.9273 3.9273 3.9273 60.00 60.00 60.00
Closest atoms and distances in Å follow each position.
Element x y z (fractional)
Zn 0.0000 0.0000 0.0000  4 Ni 2.40
Fe 0.5000 0.5000 0.5000  4 Ni 2.40
Ni 0.7500 0.7500 0.7500  4 Fe 2.40, 4 Zn 2.40

Results
magnetic moment = 3.0 μB per formula unit
N(E_F) = 1.66 states/eV per atom
space group = F-43m (216)
crystal system = cubic

***

Least stable of them? Q).

***

P) VASP calculation (GGA-PBE) on an optimized crystal structure of ZnFeNi.

Lattice parameters (Å, degrees): 11.5904 11.5904 11.5904 167.24 167.24 18.09
Closest atoms and distances in Å follow each position.
Element x y z (fractional)
Zn 0.0571 0.0571 0.0000  4 Ni 2.54, 5 Zn 2.58-2.61
Zn 0.9429 0.9429 0.0000  4 Ni 2.54, 5 Zn 2.58-2.61
Fe 0.2095 0.2095 0.0000  4 Ni 2.50, 8 Fe 2.58-2.60
Fe 0.7905 0.7905 0.0000  4 Ni 2.50, 8 Fe 2.58-2.60
Ni 0.3654 0.3654 0.0000  4 Fe 2.50, 4 Zn 2.54, 4 Ni 2.58
Ni 0.6346 0.6346 0.0000  4 Fe 2.50, 4 Zn 2.54, 4 Ni 2.58

Results
magnetic moment = 2.9 μB per formula unit
N(E_F) = 0.70 states/eV per atom
space group = I4/mmm (139)
crystal system = tetragonal

***

Q) VASP calculation (GGA-PBE) on an optimized crystal structure of ZnFeNi.

Lattice parameters (Å, degrees): 4.4482 4.4482 4.4482 146.29 131.54 60.33
Closest atoms and distances in Å follow each position.
Element x y z (fractional)
Zn 0.0000 0.0000 0.0000  5 Fe 2.53-2.59, 5 Ni 2.56-2.58, 2 Zn 2.58
Fe 0.6705 0.6705 0.0000  5 Zn 2.53-2.59, 5 Ni 2.56-2.59, 2 Fe 2.58
Ni 0.3331 0.3331 0.0000  5 Fe 2.56-2.59, 5 Zn 2.56-2.58, 2 Ni 2.58

Results
magnetic moment = 3.0 μB per formula unit
N(E_F) = 0.74 states/eV per atom
space group = Imm2 (44)
crystal system = orthorhombic

***

Least stable of them? P).